(1)
An optimized crystal structure of TaSb2Rh, computed with PBE.

Computed properties:
**Total DFT energy (no corrections)**: -6.8362 eV/atom

Cell lengths 3.4261, 3.4261, 6.4653 Å; angles 90.00, 90.00, 90.00 degrees
Last column: nearest neighbours and their distance in Å.
Fractional coordinates of all 4 atoms:
Ta (0.5000, 0.5000, 0.0000)  8 Sb 2.92, 2 Rh 3.23
Sb (0.0000, 0.0000, 0.7486)  4 Rh 2.91, 4 Ta 2.92, 2 Sb 3.21-3.25
Sb (0.0000, 0.0000, 0.2514)  4 Rh 2.91, 4 Ta 2.92, 2 Sb 3.21-3.25
Rh (0.5000, 0.5000, 0.5000)  8 Sb 2.91, 2 Ta 3.23



(2)
An optimized crystal structure of TaSb3Rh, computed with PBE.

Computed properties:
**Total DFT energy (no corrections)**: -5.3659 eV/atom

Cell lengths 5.0567, 5.0567, 5.0567 Å; angles 90.00, 90.00, 90.00 degrees
Last column: nearest neighbours and their distance in Å.
Fractional coordinates of all 5 atoms:
Sb (0.0000, 0.5000, 0.0000)  2 Rh 2.53
Sb (0.0000, 0.0000, 0.5000)  2 Rh 2.53
Sb (0.5000, 0.0000, 0.0000)  2 Rh 2.53
Rh (0.0000, 0.0000, 0.0000)  6 Sb 2.53
Ta (0.5000, 0.5000, 0.5000)  12 Sb 3.58



(3)
An optimized crystal structure of Ta2SbRh2, computed with PBE.

Computed properties:
**Total DFT energy (no corrections)**: -8.7472 eV/atom

Cell lengths 7.7784, 7.7784, 2.9561 Å; angles 90.00, 90.00, 90.00 degrees
Last column: nearest neighbours and their distance in Å.
Fractional coordinates of all 10 atoms:
Sb (0.0000, 0.0000, 0.0000)  2 Sb 2.96, 4 Rh 3.03, 8 Ta 3.29
Sb (0.5000, 0.5000, 0.0000)  2 Sb 2.96, 4 Rh 3.03, 8 Ta 3.29
Rh (0.3646, 0.8646, 0.0000)  6 Ta 2.70-2.74, 3 Rh 2.96-2.98, 2 Sb 3.03
Rh (0.8646, 0.6354, 0.0000)  6 Ta 2.70-2.74, 3 Rh 2.96-2.98, 2 Sb 3.03
Rh (0.6354, 0.1354, 0.0000)  6 Ta 2.70-2.74, 3 Rh 2.96-2.98, 2 Sb 3.03
Rh (0.1354, 0.3646, 0.0000)  6 Ta 2.70-2.74, 3 Rh 2.96-2.98, 2 Sb 3.03
Ta (0.1550, 0.6550, 0.5000)  6 Rh 2.70-2.74, 2 Ta 2.96
Ta (0.6550, 0.8450, 0.5000)  6 Rh 2.70-2.74, 2 Ta 2.96
Ta (0.8450, 0.3450, 0.5000)  6 Rh 2.70-2.74, 2 Ta 2.96
Ta (0.3450, 0.1550, 0.5000)  6 Rh 2.70-2.74, 2 Ta 2.96



(4)
An optimized crystal structure of Ta2SbRh, computed with PBE.

Computed properties:
**Total DFT energy (no corrections)**: -8.8250 eV/atom

Cell lengths 3.0176, 3.0176, 7.8711 Å; angles 90.00, 90.00, 90.00 degrees
Last column: nearest neighbours and their distance in Å.
Fractional coordinates of all 4 atoms:
Ta (0.0000, 0.0000, 0.7690)  4 Rh 2.80, 4 Sb 3.01, 4 Ta 3.02
Ta (0.0000, 0.0000, 0.2310)  4 Rh 2.80, 4 Sb 3.01, 4 Ta 3.02
Sb (0.5000, 0.5000, 0.5000)  8 Ta 3.01, 4 Sb 3.02
Rh (0.5000, 0.5000, 0.0000)  8 Ta 2.80, 4 Rh 3.02



(5)
An optimized crystal structure of Ta2SbRh, computed with PBE.

Computed properties:
**Total DFT energy (no corrections)**: -7.8832 eV/atom

Cell lengths 6.0448, 6.0448, 7.3389 Å; angles 65.68, 65.68, 90.00 degrees
Last column: nearest neighbours and their distance in Å.
Fractional coordinates of all 8 atoms:
Sb (0.0000, 0.0000, 0.0000)  4 Ta 2.77
Sb (0.7500, 0.2500, 0.5000)  4 Ta 2.77
Rh (0.5000, 0.5000, 0.0000)  4 Ta 2.46
Rh (0.2500, 0.7500, 0.5000)  4 Ta 2.46
Ta (0.5797, 0.1250, 0.2500)  2 Rh 2.46
Ta (0.1703, 0.6250, 0.2500)  2 Rh 2.46
Ta (0.3750, 0.4203, 0.7500)  2 Rh 2.46
Ta (0.8750, 0.8297, 0.7500)  2 Rh 2.46



(6)
An optimized crystal structure of Ta3SbRh, computed with PBE.

Computed properties:
**Total DFT energy (no corrections)**: -8.4641 eV/atom

Cell lengths 4.8348, 4.8348, 4.8348 Å; angles 90.00, 90.00, 90.00 degrees
Last column: nearest neighbours and their distance in Å.
Fractional coordinates of all 5 atoms:
Sb (0.5000, 0.5000, 0.5000)  12 Ta 3.42
Rh (0.0000, 0.0000, 0.0000)  6 Ta 2.42
Ta (0.0000, 0.5000, 0.0000)  2 Rh 2.42
Ta (0.0000, 0.0000, 0.5000)  2 Rh 2.42
Ta (0.5000, 0.0000, 0.0000)  2 Rh 2.42



(7)
An optimized crystal structure of TaSb2Rh, computed with PBE.

Computed properties:
**Total DFT energy (no corrections)**: -6.9316 eV/atom

Cell lengths 3.1621, 4.8506, 5.0886 Å; angles 90.00, 90.00, 90.00 degrees
Last column: nearest neighbours and their distance in Å.
Fractional coordinates of all 4 atoms:
Ta (0.0000, 0.4895, 0.0000)  6 Sb 2.81-2.98
Sb (0.5000, 0.0110, 0.0000)  4 Ta 2.81-2.98, 2 Rh 2.83
Sb (0.0000, 0.7339, 0.5000)  4 Rh 2.77-3.03, 2 Ta 2.81
Rh (0.5000, 0.2657, 0.5000)  6 Sb 2.77-3.03



(8)
An optimized crystal structure of TaSb2Rh, computed with PBE.

Computed properties:
**Total DFT energy (no corrections)**: -6.7378 eV/atom

Cell lengths 5.6176, 5.6176, 5.6176 Å; angles 138.37, 138.37, 60.34 degrees
Last column: nearest neighbours and their distance in Å.
Fractional coordinates of all 4 atoms:
Ta (0.5000, 0.5000, 0.0000)  8 Sb 2.82-3.14, 4 Rh 3.14
Sb (0.0000, 0.0000, 0.0000)  4 Ta 2.82, 4 Rh 3.14, 4 Sb 3.14
Sb (0.2500, 0.7500, 0.5000)  4 Rh 2.82, 4 Ta 3.14, 4 Sb 3.14
Rh (0.7500, 0.2500, 0.5000)  8 Sb 2.82-3.14, 4 Ta 3.14



no.,D(E_F) (states/eV per atom)
1,0.485
2,1.759
3,0.598
4,0.771
5,1.728
6,1.096
7,0.543
8,0.695